# ZrMn2Hg2 (PBE, relaxed)
# Relative energy among the computed polymorphs (meV/atom): 115
# ρ (Mg/m³): 10.8
# Energy of formation from the pure elements (kJ/mol of formula units): 184
# Volume (Å³ per atom): 18.53
data_ZrMn2Hg2
_chemical_formula_sum 'Zr2 Mn4 Hg4'
_cell_length_a 4.130
_cell_length_b 4.130
_cell_length_c 10.866
_cell_angle_alpha 90.00
_cell_angle_beta 90.00
_cell_angle_gamma 90.00
_symmetry_space_group_name_H-M 'I 4/m m m'
_symmetry_Int_Tables_number 139
_symmetry_space_group_name_Hall '-I 4 2'
loop_
_atom_site_label
_atom_site_type_symbol
_atom_site_fract_x
_atom_site_fract_y
_atom_site_fract_z
Zr1 Zr 0.000 0.000 0.000
Mn1 Mn 0.000 0.000 0.412
Hg1 Hg 0.000 0.500 0.250